# CdHg2Os PBE-GGA optimized geometry
data_CdHg2Os
_chemical_formula_sum 'Cd1 Hg2 Os1'
_space_group_name_H-M_alt 'P m m 2'
_space_group_IT_number 25
_cell_length_a 2.921
_cell_length_b 4.377
_cell_length_c 6.066
_cell_angle_alpha 90.00
_cell_angle_beta 90.00
_cell_angle_gamma 90.00
loop_
_space_group_symop_operation_xyz
'x,y,z'
'-x,-y,z'
'-x,y,z'
'x,-y,z'
loop_
_atom_site_label
_atom_site_fract_x
_atom_site_fract_y
_atom_site_fract_z
Cd1 0.000 0.000 0.000
Hg1 0.000 0.000 0.537
Hg2 0.500 0.500 0.266
Os1 0.500 0.500 0.777
# - D(E_F) (states/eV per cell) = 2.8
# - size of the total moment (Bohr magnetons per cell) = 0.00
# - calculated formation energy (eV/f.u.) = 2.72

---

# KHfBi3 PBE-GGA optimized geometry
data_KHfBi3
_chemical_formula_sum 'K1 Hf1 Bi3'
_space_group_name_H-M_alt 'P m -3 m'
_space_group_IT_number 221
_space_group_name_Hall '-P 4 2 3'
_cell_length_a 5.727
_cell_length_b 5.727
_cell_length_c 5.727
_cell_angle_alpha 90.00
_cell_angle_beta 90.00
_cell_angle_gamma 90.00
loop_
_atom_site_label
_atom_site_fract_x
_atom_site_fract_y
_atom_site_fract_z
K1 0.000 0.000 0.000
Hf1 0.500 0.500 0.500
Bi1 0.000 0.500 0.500
# - excess energy over the best structure of this formula in the dataset (meV/atom) = 0
# - D(E_F) (states/eV per cell) = 4.7
# - size of the total moment (Bohr magnetons per cell) = 0.00
# - calculated formation energy (eV/f.u.) = -0.30

---

# H3Pt PBE-GGA optimized geometry
data_H3Pt
_chemical_formula_sum 'H6 Pt2'
_space_group_name_H-M_alt 'I m m 2'
_space_group_IT_number 44
_cell_length_a 2.605
_cell_length_b 7.230
_cell_length_c 4.230
_cell_angle_alpha 90.00
_cell_angle_beta 90.00
_cell_angle_gamma 90.00
loop_
_space_group_symop_operation_xyz
'x,y,z'
'-x,-y,z'
'-x,y,z'
'x,-y,z'
'x+1/2,y+1/2,z+1/2'
'-x+1/2,-y+1/2,z+1/2'
'-x+1/2,y+1/2,z+1/2'
'x+1/2,-y+1/2,z+1/2'
loop_
_atom_site_label
_atom_site_fract_x
_atom_site_fract_y
_atom_site_fract_z
H1 0.000 0.000 0.000
H2 0.000 0.144 0.425
Pt1 0.000 0.500 0.783
# - excess energy over the best structure of this formula in the dataset (meV/atom) = 181
# - D(E_F) (states/eV per cell) = 0.9
# - size of the total moment (Bohr magnetons per cell) = 0.00

---

# Ta2OsBr PBE-GGA optimized geometry
data_Ta2OsBr
_chemical_formula_sum 'Ta2 Os1 Br1'
_space_group_name_H-M_alt 'P 4 m m'
_space_group_IT_number 99
_cell_length_a 3.181
_cell_length_b 3.181
_cell_length_c 7.385
_cell_angle_alpha 90.00
_cell_angle_beta 90.00
_cell_angle_gamma 90.00
loop_
_space_group_symop_operation_xyz
'x,y,z'
'-y,x,z'
'-x,-y,z'
'y,-x,z'
'-x,y,z'
'y,x,z'
'x,-y,z'
'-y,-x,z'
loop_
_atom_site_label
_atom_site_fract_x
_atom_site_fract_y
_atom_site_fract_z
Ta1 0.000 0.000 0.000
Ta2 0.500 0.500 0.260
Os1 0.500 0.500 0.821
Br1 0.000 0.000 0.494
# - excess energy over the best structure of this formula in the dataset (meV/atom) = 131
# - raw formation energy (eV per formula unit) = 1.09
# - D(E_F) (states/eV per cell) = 2.9
# - size of the total moment (Bohr magnetons per cell) = 0.00

---

# SmLu2Pa PBE-GGA optimized geometry
data_SmLu2Pa
_chemical_formula_sum 'Sm1 Lu2 Pa1'
_space_group_name_H-M_alt 'P 4/m m m'
_space_group_IT_number 123
_space_group_name_Hall '-P 4 2'
_cell_length_a 3.416
_cell_length_b 3.416
_cell_length_c 9.945
_cell_angle_alpha 90.00
_cell_angle_beta 90.00
_cell_angle_gamma 90.00
loop_
_atom_site_label
_atom_site_fract_x
_atom_site_fract_y
_atom_site_fract_z
Sm1 0.000 0.000 0.000
Lu1 0.500 0.500 0.268
Pa1 0.000 0.000 0.500
# - excess energy over the best structure of this formula in the dataset (meV/atom) = 0
# - D(E_F) (states/eV per cell) = 7.4
# - size of the total moment (Bohr magnetons per cell) = 0.35
# - calculated formation energy (eV/f.u.) = 0.48

---

# Tb5Ni2Ag PBE-GGA optimized geometry
data_Tb5Ni2Ag
_chemical_formula_sum 'Tb20 Ni8 Ag4'
_space_group_name_H-M_alt 'I 4/m c m'
_space_group_IT_number 140
_space_group_name_Hall '-I 4 2c'
_cell_length_a 7.708
_cell_length_b 7.708
_cell_length_c 13.036
_cell_angle_alpha 90.00
_cell_angle_beta 90.00
_cell_angle_gamma 90.00
loop_
_atom_site_label
_atom_site_fract_x
_atom_site_fract_y
_atom_site_fract_z
Tb1 0.000 0.000 0.000
Tb2 0.161 0.339 0.136
Ni1 0.126 0.374 0.500
Ag1 0.000 0.000 0.250
# - D(E_F) (states/eV per cell) = 32.3
# - size of the total moment (Bohr magnetons per cell) = 0.00
# - calculated formation energy (eV/f.u.) = -2.38